## LiSi2Pt (PBE)

Data for crystalline LiSi2Pt at its relaxed geometry.

Output
* SG: No. 166
* spin magnetization: 0.00 Bohr magnetons per cell
* D(E_F): 2.27 states/eV/f.u.
* final energy: -0.3611 Ry per atom
* uncorrected formation energy: -0.213 eV per atom

abc: 2.895 2.895 24.806
angles: 90.00 90.00 120.00
Sites, in units of the cell vectors:
Li 0.000 0.000 0.000
Li 0.333 0.667 0.667
Li 0.667 0.333 0.333
Si 0.000 0.000 0.247
Si 0.000 0.000 0.753
Si 0.333 0.667 0.420
Si 0.333 0.667 0.913
Si 0.667 0.333 0.087
Si 0.667 0.333 0.580
Pt 0.000 0.000 0.500
Pt 0.333 0.667 0.167
Pt 0.667 0.333 0.833

## CuBr (PBE)

Data for crystalline CuBr at its relaxed geometry.

Output
* SG: No. 227
* spin magnetization: 0.00 Bohr magnetons per cell
* D(E_F): 1.41 states/eV/f.u.
* final energy: -0.1670 Ry per atom
* uncorrected formation energy: 0.612 eV per atom

abc: 6.858 6.858 6.858
angles: 90.00 90.00 90.00
Sites, in units of the cell vectors:
Cu 0.125 0.125 0.125
Cu 0.125 0.625 0.625
Cu 0.375 0.375 0.875
Cu 0.375 0.875 0.375
Cu 0.625 0.125 0.625
Cu 0.625 0.625 0.125
Cu 0.875 0.375 0.375
Cu 0.875 0.875 0.875
Br 0.125 0.125 0.625
Br 0.125 0.625 0.125
Br 0.375 0.375 0.375
Br 0.375 0.875 0.875
Br 0.625 0.125 0.125
Br 0.625 0.625 0.625
Br 0.875 0.375 0.875
Br 0.875 0.875 0.375

## Tm6CuSe2S3 (PBE)

Data for crystalline Tm6CuSe2S3 at its relaxed geometry.

Output
* SG: No. 12
* spin magnetization: 0.00 Bohr magnetons per cell
* D(E_F): 4.34 states/eV/f.u.
* final energy: -0.4233 Ry per atom
* uncorrected formation energy: -1.569 eV per atom

abc: 6.830 6.830 6.776
angles: 99.72 99.72 119.96
Sites, in units of the cell vectors:
Tm 0.083 0.404 0.753
Tm 0.233 0.233 0.242
Tm 0.404 0.083 0.753
Tm 0.596 0.917 0.247
Tm 0.767 0.767 0.758
Tm 0.917 0.596 0.247
Cu 0.000 0.000 0.500
Se 0.335 0.665 0.500
Se 0.665 0.335 0.500
S 0.175 0.825 0.000
S 0.500 0.500 0.000
S 0.825 0.175 0.000